Entry from the Alexandria database: a relaxed structure of MgMn2CrF (PBE+U).

- E: -5.11 eV/atom

a b c (Å): 5.441 5.441 3.854
angles (deg): 90.00 90.00 90.00
Space group P4/mmm (No. 123)
Unique sites:
Mg 0.000 0.000 0.000 x1
Mn 0.000 0.500 0.500 x2
Cr 0.500 0.500 0.500 x1
F 0.500 0.500 0.000 x1